Computed, not measured: a relaxed CoRuO3 crystal at the PBE with a Hubbard U level of DFT. Values from VASP.

The structure in Quantum ESPRESSO input format:
```
&SYSTEM
  ibrav = 0, nat = 5, ntyp = 3
/
ATOMIC_SPECIES
Co 58.93 Co.upf
Ru 101.07 Ru.upf
O 16.00 O.upf
CELL_PARAMETERS angstrom
3.847 0.000 0.000
0.000 3.847 0.000
0.000 0.000 3.847
ATOMIC_POSITIONS angstrom
Co 0.000 0.000 0.000
Ru 1.924 1.924 1.924
O 0.000 1.924 1.924
O 1.924 0.000 1.924
O 1.924 1.924 0.000
```

Properties
Raw total energy (eV/cell): -30.77
V (Å³/cell): 57.0
Space-group type: Pm-3m
Mass density (Mg/m³): 6.1